1.
V2H2Os GGA-PBE optimized geometry; energy relative to the lowest polymorph listed for this composition = 0.000 eV per atom; SG = I4/mmm (139); magnetization = 0.00 μB per formula unit
1.0
2.821 0.000 0.000
0.000 2.821 0.000
0.000 0.000 11.663
V H Os
4 4 2
direct
0.000 0.000 0.148
0.000 0.000 0.852
0.500 0.500 0.352
0.500 0.500 0.648
0.000 0.500 0.250
0.000 0.500 0.750
0.500 0.000 0.250
0.500 0.000 0.750
0.000 0.000 0.500
0.500 0.500 0.000


2.
Ba2HgC GGA-PBE optimized geometry; energy relative to the lowest polymorph listed for this composition = 0.076 eV per atom; SG = P1 (1); magnetization = 0.00 μB per formula unit
1.0
4.675 0.000 0.000
1.869 8.207 0.000
1.729 3.089 8.041
Ba Hg C
4 2 2
direct
0.000 0.000 0.000
0.013 0.002 0.467
0.491 0.512 0.169
0.710 0.546 0.605
0.059 0.656 0.856
0.367 0.232 0.611
0.462 0.834 0.234
0.618 0.874 0.315


3.
SiIr GGA-PBE optimized geometry; SG = I4/m (87); magnetization = 0.00 μB per formula unit
1.0
9.799 0.000 0.000
0.000 9.799 0.000
0.000 0.000 3.654
Si Ir
8 8
direct
0.087 0.681 0.000
0.181 0.413 0.500
0.319 0.087 0.000
0.413 0.819 0.500
0.587 0.181 0.500
0.681 0.913 0.000
0.819 0.587 0.500
0.913 0.319 0.000
0.144 0.275 0.000
0.225 0.644 0.500
0.275 0.856 0.000
0.356 0.225 0.500
0.644 0.775 0.500
0.725 0.144 0.000
0.775 0.356 0.500
0.856 0.725 0.000


4.
LaAsSe2 GGA-PBE optimized geometry; SG = P2/m (10); magnetization = 0.00 μB per formula unit
1.0
4.079 0.000 0.000
0.000 3.812 0.000
-1.836 0.000 6.349
La As Se
1 1 2
direct
0.000 0.000 0.000
0.000 0.000 0.500
0.371 0.500 0.750
0.629 0.500 0.250


Results for DFT total energy: -74.65; -27.66; -116.25; -20.59 (in eV for the cell shown, following the order of the records).